(1)
Entry from Alexandria via LeMat-Bulk: crystalline ErTmZnRh at its relaxed geometry (PBE-GGA).

Cell: 4.877 4.877 4.877 Å, 60.00 60.00 60.00°
Fractional positions:
1 Tm 0.250 0.250 0.250
2 Rh 0.500 0.500 0.500
3 Zn 0.000 0.000 0.000
4 Er 0.750 0.750 0.750

Formation enthalpy at 0 K (eV per atom): -0.644
Energy above the lowest structure with this stoichiometry (kJ/mol of formula units): 5

(2)
Entry from Alexandria via LeMat-Bulk: crystalline ErTmZnRh at its relaxed geometry (PBE-GGA).

Cell: 3.450 3.450 6.994 Å, 90.00 90.00 90.00°
Fractional positions:
1 Rh 0.500 0.500 0.109
2 Er 0.000 0.000 0.873
3 Tm 0.000 0.000 0.341
4 Zn 0.500 0.500 0.605

Formation enthalpy at 0 K (eV per atom): -0.658
Energy above the lowest structure with this stoichiometry (kJ/mol of formula units): 0

(3)
Entry from Alexandria via LeMat-Bulk: crystalline ErURh6 at its relaxed geometry (PBE-GGA).

Cell: 4.031 4.031 8.015 Å, 90.00 90.00 90.00°
Fractional positions:
1 Rh 0.500 0.000 0.740
2 U 0.000 0.000 0.500
3 Rh 0.000 0.500 0.740
4 Rh 0.500 0.500 0.000
5 Er 0.000 0.000 0.000
6 Rh 0.500 0.000 0.260
7 Rh 0.000 0.500 0.260
8 Rh 0.500 0.500 0.500

Formation enthalpy at 0 K (eV per atom): -0.659

(4)
Entry from Alexandria via LeMat-Bulk: crystalline ErURh at its relaxed geometry (PBE-GGA).

Cell: 6.408 5.515 9.848 Å, 79.10 71.01 54.48°
Fractional positions:
1 Er 0.415 0.000 0.170
2 Er 0.335 0.500 0.330
3 Rh 0.778 0.443 0.000
4 U 0.659 0.500 0.682
5 Rh 0.528 0.943 0.500
6 Rh 0.972 0.057 0.500
7 Rh 0.222 0.557 0.000
8 Er 0.165 0.500 0.670
9 U 0.909 0.000 0.182
10 Er 0.585 0.000 0.830
11 U 0.841 0.500 0.318
12 U 0.091 0.000 0.818

Formation enthalpy at 0 K (eV per atom): 0.159

(5)
Entry from Alexandria via LeMat-Bulk: crystalline YEr3Rh8 at its relaxed geometry (PBE-GGA).

Cell: 5.321 5.321 8.700 Å, 90.00 90.00 120.00°
Fractional positions:
1 Er 0.000 0.000 0.934
2 Rh 0.164 0.328 0.249
3 Rh 0.333 0.667 0.000
4 Er 0.667 0.333 0.066
5 Y 0.000 0.000 0.567
6 Rh 0.502 0.005 0.751
7 Rh 0.995 0.498 0.751
8 Rh 0.164 0.836 0.249
9 Rh 0.502 0.498 0.751
10 Rh 0.672 0.836 0.249
11 Er 0.667 0.333 0.433
12 Rh 0.333 0.667 0.500

Formation enthalpy at 0 K (eV per atom): -0.732

(6)
Entry from Alexandria via LeMat-Bulk: crystalline YErRh4 at its relaxed geometry (PBE-GGA).

Cell: 5.330 5.330 5.330 Å, 60.00 60.00 60.00°
Fractional positions:
1 Rh 0.625 0.625 0.625
2 Er 0.000 0.000 0.000
3 Rh 0.625 0.625 0.125
4 Rh 0.125 0.625 0.625
5 Y 0.250 0.250 0.250
6 Rh 0.625 0.125 0.625

Formation enthalpy at 0 K (eV per atom): -0.745

(7)
Entry from Alexandria via LeMat-Bulk: crystalline Y3ErRh2 at its relaxed geometry (PBE-GGA).

Cell: 6.696 7.112 8.354 Å, 115.19 113.62 90.00°
Fractional positions:
1 Y 0.769 0.519 0.537
2 Y 0.231 0.481 0.463
3 Y 0.500 0.750 0.000
4 Rh 0.851 0.137 0.274
5 Rh 0.423 0.637 0.274
6 Y 0.231 0.981 0.463
7 Er 0.000 0.000 0.000
8 Y 0.500 0.250 0.000
9 Y 0.769 0.019 0.537
10 Rh 0.577 0.363 0.726
11 Er 0.000 0.500 0.000
12 Rh 0.149 0.863 0.726

Formation enthalpy at 0 K (eV per atom): -0.561
Energy above the lowest structure with this stoichiometry (kJ/mol of formula units): 0

(8)
Entry from Alexandria via LeMat-Bulk: crystalline Y2ErRh3 at its relaxed geometry (PBE-GGA).

Cell: 4.844 4.844 11.836 Å, 90.00 90.00 120.00°
Fractional positions:
1 Y 0.000 0.000 0.500
2 Rh 0.667 0.333 0.583
3 Er 0.333 0.667 0.666
4 Rh 0.333 0.667 0.417
5 Y 0.000 0.000 0.000
6 Rh 0.000 0.000 0.748
7 Rh 0.667 0.333 0.085
8 Rh 0.000 0.000 0.252
9 Er 0.667 0.333 0.334
10 Y 0.333 0.667 0.168
11 Rh 0.333 0.667 0.915
12 Y 0.667 0.333 0.832

Formation enthalpy at 0 K (eV per atom): -0.874
Energy above the lowest structure with this stoichiometry (kJ/mol of formula units): 0

What did the first record say?
Entry from Alexandria via LeMat-Bulk: crystalline ErTmZnRh at its relaxed geometry (PBE-GGA).

Cell: 4.877 4.877 4.877 Å, 60.00 60.00 60.00°
Fractional positions:
1 Tm 0.250 0.250 0.250
2 Rh 0.500 0.500 0.500
3 Zn 0.000 0.000 0.000
4 Er 0.750 0.750 0.750

Formation enthalpy at 0 K (eV per atom): -0.644
Energy above the lowest structure with this stoichiometry (kJ/mol of formula units): 5

What did the seventh record say?
Entry from Alexandria via LeMat-Bulk: crystalline Y3ErRh2 at its relaxed geometry (PBE-GGA).

Cell: 6.696 7.112 8.354 Å, 115.19 113.62 90.00°
Fractional positions:
1 Y 0.769 0.519 0.537
2 Y 0.231 0.481 0.463
3 Y 0.500 0.750 0.000
4 Rh 0.851 0.137 0.274
5 Rh 0.423 0.637 0.274
6 Y 0.231 0.981 0.463
7 Er 0.000 0.000 0.000
8 Y 0.500 0.250 0.000
9 Y 0.769 0.019 0.537
10 Rh 0.577 0.363 0.726
11 Er 0.000 0.500 0.000
12 Rh 0.149 0.863 0.726

Formation enthalpy at 0 K (eV per atom): -0.561
Energy above the lowest structure with this stoichiometry (kJ/mol of formula units): 0

> Which formula does entry 7 have?

Y3ErRh2